No. 1
SrRe2NiPb after structural relaxation, computed with PBE.

Unit cell a=5.1815 b=4.8519 c=5.1815 alpha=90.00 beta=90.00 gamma=90.00
With the nearest neighbours (Å) after each atom.
Fractional positions:
Pb 0.0000 0.0000 0.0000  2 Ni 2.43, 4 Re 2.59
Re 0.0000 0.0000 0.5000  2 Pb 2.59
Re 0.5000 0.0000 0.0000  2 Pb 2.59
Ni 0.0000 0.5000 0.0000  2 Pb 2.43
Sr 0.5000 0.5000 0.5000  8 Re 3.55, 4 Ni 3.66

Output
volume: 130.3 Å³ per cell
formation enthalpy at 0 K: 1.93 eV/atom


No. 2
Rb4H5Pt after structural relaxation, computed with PBE.

Unit cell a=6.0853 b=6.9632 c=6.9632 alpha=78.99 beta=64.09 gamma=64.09
With the nearest neighbours (Å) after each atom.
Fractional positions:
Rb 0.3970 0.3993 0.8572  4 H 2.91-3.14
Rb 0.7963 0.8572 0.6007  4 H 2.91-3.14
Rb 0.2542 0.1428 0.3993  4 H 2.91-3.14
Rb 0.6535 0.6007 0.1428  4 H 2.91-3.14
H 0.9651 0.2274 0.8609  1 Pt 1.68
H 0.1925 0.8609 0.7726  1 Pt 1.68
H 0.8260 0.1391 0.2274  1 Pt 1.68
H 0.0534 0.7726 0.1391  1 Pt 1.68
H 0.3317 0.0000 0.0000  1 Pt 1.77
Pt 0.0406 0.0000 0.0000  5 H 1.68-1.77

Output
final energy: -2.84 eV/atom
volume: 238.7 Å³ per cell


No. 3
Y17Ho2 after structural relaxation, computed with PBE.

Unit cell a=8.7725 b=8.7725 c=8.7725 alpha=79.33 beta=79.33 gamma=79.33
With the nearest neighbours (Å) after each atom.
Fractional positions:
Y 0.3713 0.3713 0.8503  6 Y 3.29-3.35
Y 0.3713 0.8503 0.3713  6 Y 3.29-3.35
Y 0.0971 0.0971 0.0971  13 Y 3.46-3.81
Y 0.9029 0.9029 0.9029  13 Y 3.46-3.81
Y 0.0000 0.0000 0.5000  10 Y 3.35-3.46
Y 0.5000 0.0000 0.0000  10 Y 3.35-3.46
Y 0.0000 0.5000 0.0000  10 Y 3.35-3.46
Y 0.2999 0.7001 0.0000  6 Y 3.30-3.42
Y 0.0000 0.2999 0.7001  6 Y 3.30-3.42
Y 0.7001 0.0000 0.2999  6 Y 3.30-3.42
Y 0.7001 0.2999 0.0000  6 Y 3.30-3.42
Y 0.0000 0.7001 0.2999  6 Y 3.30-3.42
Y 0.2999 0.0000 0.7001  6 Y 3.30-3.42
Y 0.6287 0.1497 0.6287  6 Y 3.29-3.35
Y 0.6287 0.6287 0.1497  6 Y 3.29-3.35
Y 0.1497 0.6287 0.6287  6 Y 3.29-3.35
Y 0.8503 0.3713 0.3713  6 Y 3.29-3.35
Ho 0.6802 0.6802 0.6802  16 Y 3.94-4.23
Ho 0.3198 0.3198 0.3198  16 Y 3.94-4.23

Output
volume: 643.9 Å³ per cell
formation enthalpy at 0 K: 0.30 eV/atom


No. 4
K3InHg2 after structural relaxation, computed with PBE.

Unit cell a=4.6668 b=5.5752 c=9.7371 alpha=106.56 beta=103.86 gamma=90.00
With the nearest neighbours (Å) after each atom.
Fractional positions:
K 0.5000 0.5000 0.0000  4 Hg 3.51, 4 In 3.64
K 0.8183 0.3183 0.6366  5 Hg 3.61-3.81, 2 K 4.03
K 0.1817 0.6817 0.3634  5 Hg 3.61-3.81, 2 K 4.03
In 0.0000 0.0000 0.0000  4 Hg 3.17
Hg 0.3817 0.8820 0.7633  2 In 3.17, 2 K 3.51
Hg 0.6183 0.1180 0.2367  2 In 3.17, 2 K 3.51

Output
volume: 235.1 Å³ per cell
formation enthalpy at 0 K: -0.16 eV/atom


No. 5
Tl3TcTe after structural relaxation, computed with PBE.

Unit cell a=5.4096 b=5.4096 c=5.4096 alpha=90.00 beta=90.00 gamma=90.00
With the nearest neighbours (Å) after each atom.
Fractional positions:
Tl 0.0000 0.5000 0.0000  2 Tc 2.70
Tl 0.0000 0.0000 0.5000  2 Tc 2.70
Tl 0.5000 0.0000 0.0000  2 Tc 2.70
Te 0.5000 0.5000 0.5000  12 Tl 3.83
Tc 0.0000 0.0000 0.0000  6 Tl 2.70

Output
formation energy from raw total energies: 488 meV/atom
volume: 158.3 Å³ per cell


No. 6
PdRhO2 after structural relaxation, computed with PBE.

Unit cell a=10.1374 b=10.1374 c=3.5210 alpha=90.00 beta=90.00 gamma=164.28
With the nearest neighbours (Å) after each atom.
Fractional positions:
Rh 0.3140 0.6860 0.2500  3 O 1.99-2.05
Rh 0.6860 0.3140 0.7500  3 O 1.99-2.05
O 0.2148 0.7852 0.2500  1 Rh 1.99
O 0.7852 0.2148 0.7500  1 Rh 1.99
O 0.8893 0.1107 0.2500  2 Rh 2.05, 2 Pd 2.18
O 0.1107 0.8893 0.7500  2 Rh 2.05, 2 Pd 2.18
Pd 0.0466 0.9534 0.2500  2 O 2.18
Pd 0.9534 0.0466 0.7500  2 O 2.18

Output
formation energy from raw total energies: -82 meV/atom
volume: 98.0 Å³ per cell


No. 7
Tb3Sm4Ni2 after structural relaxation, computed with PBE.

Unit cell a=3.6604 b=9.0768 c=8.5614 alpha=112.68 beta=102.34 gamma=90.00
With the nearest neighbours (Å) after each atom.
Fractional positions:
Tb 0.0709 0.1900 0.1418  2 Ni 2.77
Tb 0.9291 0.8100 0.8582  2 Ni 2.77
Tb 0.0000 0.5000 0.0000  4 Ni 2.88
Sm 0.2288 0.6536 0.4576  3 Ni 2.79-3.02
Sm 0.7712 0.3464 0.5424  3 Ni 2.79-3.02
Sm 0.6310 0.8889 0.2621  5 Sm 3.65-3.88, 6 Tb 3.66-3.81, 2 Ni 3.99-4.04
Sm 0.3690 0.1111 0.7379  5 Sm 3.65-3.88, 6 Tb 3.66-3.81, 2 Ni 3.99-4.04
Ni 0.3834 0.5607 0.7669  4 Tb 2.77-2.88, 3 Sm 2.79-3.02
Ni 0.6166 0.4393 0.2331  4 Tb 2.77-2.88, 3 Sm 2.79-3.02

Output
volume: 255.3 Å³ per cell
formation enthalpy at 0 K: -0.15 eV/atom


No. 8
CePuZn after structural relaxation, computed with PBE.

Unit cell a=3.1340 b=5.8128 c=8.2473 alpha=64.61 beta=90.00 gamma=105.64
With the nearest neighbours (Å) after each atom.
Fractional positions:
Zn 0.1113 0.2226 0.8658  1 Zn 2.49
Zn 0.8887 0.7774 0.1342  1 Zn 2.49
Pu 0.3316 0.6633 0.4930  2 Pu 2.37
Pu 0.6684 0.3367 0.5070  2 Pu 2.37
Ce 0.1213 0.2426 0.2431  2 Pu 2.91, 4 Zn 3.11-3.16, 2 Ce 3.13
Ce 0.8787 0.7574 0.7569  2 Pu 2.91, 4 Zn 3.11-3.16, 2 Ce 3.13

Output
volume: 129.5 Å³ per cell
formation enthalpy at 0 K: 0.21 eV/atom